Below is SmDy2Au after structural relaxation, with properties calculated at the PBE level.

## Properties
distance to the lowest polymorph of the same formula = 0.031 eV/atom
spin magnetization = 0.00 μB per cell
E_tot = -4.70 eV/atom
DFT formation energy = -1.60 eV per formula unit
V = 28.17 Å³ per atom

```
SmDy2Au
1.0
3.633 0.000 0.000
0.000 3.633 0.000
0.000 0.000 8.538
Dy Au Sm
2 1 1
Cartesian
0.000 0.000 6.799
0.000 0.000 1.739
1.816 1.816 0.000
1.816 1.816 4.269
```